<one>
Computed, not measured: a geometry-optimized HfS2Br structure at the GGA-PBEsol level of DFT.

a b c (Å): 4.6271 4.6271 4.6271
angles (deg): 60.00 60.00 60.00
Atoms (fractional coordinates):
Hf 0.0000 0.0000 0.0000
S 0.2500 0.2500 0.2500
S 0.7500 0.7500 0.7500
Br 0.5000 0.5000 0.5000

Output
**Fermi-level density of states**: 0.69 states/eV per atom
**Symmetry**: Fm-3m, No. 225

---

<two>
Computed, not measured: a geometry-optimized HfS2Br structure at the GGA-PBEsol level of DFT.

a b c (Å): 8.1984 8.1984 8.1984
angles (deg): 25.45 25.45 25.45
Atoms (fractional coordinates):
Hf 0.0000 0.0000 0.0000
S 0.3941 0.3941 0.3941
S 0.6059 0.6059 0.6059
Br 0.5000 0.5000 0.5000

Output
**Fermi-level density of states**: 0.38 states/eV per atom
**Symmetry**: R-3m, No. 166

---

Order of stability, best first: <two>, <one>